This record from the Alexandria database describes a relaxed structure of Hf3TaAg. The functional is PBE-GGA.

Its polymorph energy (0 for the lowest one) is 0 meV/atom. Its formation energy is 1.132 eV per atom. For the size of the total moment, the calculation gives 0.0 Bohr magnetons per cell. Its mass density is 10.35 g/cm3.

The space group is Pm-3m (No. 221) and the conventional cell measures 5.095, 5.095 and 5.095 Å, with angles of 90.00, 90.00 and 90.00 degrees. The inequivalent atoms are Hf at (0.000, 0.000, 0.500), Ta at (0.000, 0.000, 0.000) and Ag at (0.500, 0.500, 0.500).

This record from the Alexandria database describes a relaxed structure of Sr2Cd5Ga. The functional is PBE-GGA.

Its formation energy is -0.291 eV per atom. For the size of the total moment, the calculation gives 0.0 Bohr magnetons per cell. Its mass density is 6.09 g/cm3.

The space group is Cmcm (No. 63) and the conventional cell measures 4.922, 17.840 and 10.032 Å, with angles of 90.00, 90.00 and 90.00 degrees. The inequivalent atoms are Sr at (0.000, 0.000, 0.000), Sr at (0.000, 0.197, 0.250), Cd at (0.000, 0.189, 0.606), Cd at (0.000, 0.355, 0.529), Cd at (0.000, 0.404, 0.250) and Ga at (0.000, 0.444, 0.750).

This record from the Alexandria database describes a relaxed structure of Cs2KCd2. The functional is PBE-GGA.

Its polymorph energy (0 for the lowest one) is 20 meV/atom. Its formation energy is -0.006 eV per atom. For the size of the total moment, the calculation gives 0.0 Bohr magnetons per cell. Its mass density is 3.06 g/cm3.

The space group is C2/m (No. 12) and the conventional cell measures 14.549, 5.260 and 7.628 Å, with angles of 90.00, 100.46 and 90.00 degrees. The inequivalent atoms are Cs at (0.146, 0.000, 0.078), K at (0.000, 0.500, 0.500) and Cd at (0.225, 0.000, 0.578).

This record from the Alexandria database describes a relaxed structure of K2WI2Br4. The functional is PBE-GGA.

As for the energy relative to the elements, uncorrected: -0.901 eV per atom. For the size of the total moment, the calculation gives 4.0 Bohr magnetons per cell. Its mass density is 4.21 g/cm3.

The space group is C2/m (No. 12) and the conventional cell measures 13.466, 7.564 and 7.741 Å, with angles of 90.00, 123.27 and 90.00 degrees. The inequivalent atoms are K at (0.248, 0.000, 0.210), W at (0.000, 0.500, 0.000), I at (0.241, 0.500, 0.310) and Br at (0.035, 0.261, 0.806).

The VASP energy results, record by record, are as follows: -38.9 -13.3 -4.7 -33.0 eV per formula unit.